# 1
The following is a DFT calculation (PBE) of an optimized crystal structure of Ca3Ag.

Cell and atoms, written as POSCAR:
```
Ca3Ag
1.0
6.6882 -0.2051 0.0339
2.6803 6.1311 -0.0339
-3.7993 -4.3621 3.3635
Ca Ag
3 1
Cartesian
4.9803 2.4950 0.3481
1.6676 1.4749 2.0996
4.6411 -1.0800 2.1335
2.8165 -4.4527 3.3121
```

Properties
DFT total energy: -2.330 eV per atom
Crystal system: orthorhombic
V: 139.2 Å³ per cell
Formation energy: -116 meV per atom
Magnetic moment: 0.0 μB/cell
Polymorph energy (0 for the lowest one): 0.32 eV/f.u.
Fermi-level density of states: 3.758 states/eV/f.u.

=====

# 2
The following is a DFT calculation (PBE) of an optimized crystal structure of Ca2Ag.

Cell and atoms, written as POSCAR:
```
Ca2Ag
1.0
5.2247 0.0000 0.0000
2.6123 4.5247 0.0000
2.6123 1.5082 4.2659
Ca Ag
2 1
Cartesian
7.8370 4.5247 3.1994
2.6123 1.5082 1.0665
0.0000 0.0000 0.0000
```

Properties
DFT total energy: -2.435 eV per atom
Crystal system: cubic
V: 100.8 Å³ per cell
Formation energy: -150 meV per atom
Magnetic moment: 0.0 μB/cell
Fermi-level density of states: 2.091 states/eV/f.u.

=====

# 3
The following is a DFT calculation (PBE) of an optimized crystal structure of CaAg.

Cell and atoms, written as POSCAR:
```
CaAg
1.0
-4.5882 2.2101 -3.3409
3.3741 -5.0499 0.4602
-2.9788 -1.7212 2.9523
Ag Ca
2 2
Cartesian
-3.4522 -2.1537 0.4822
-0.7408 -2.4073 -0.4106
-5.6945 -0.1091 -0.5883
1.5016 -4.4519 0.6599
```

Properties
DFT total energy: -2.747 eV per atom
Crystal system: orthorhombic
V: 109.4 Å³ per cell
Formation energy: -320 meV per atom
Magnetic moment: 0.0 μB/cell
Fermi-level density of states: 1.492 states/eV/f.u.

=====

# 4
The following is a DFT calculation (PBE) of an optimized crystal structure of CaAg3.

Cell and atoms, written as POSCAR:
```
CaAg3
1.0
-2.8227 0.7642 -3.2672
2.9181 -1.5294 -2.8789
-1.6588 -4.0705 0.4811
Ag Ca
3 1
Cartesian
-1.4729 -4.1140 -2.6320
-1.5207 -3.7315 0.4410
-2.1023 -1.3135 -1.4332
0.7678 -2.4609 -1.2390
```

Properties
DFT total energy: -2.774 eV per atom
Crystal system: tetragonal
V: 84.8 Å³ per cell
Formation energy: -135 meV per atom
Magnetic moment: 0.0 μB/cell
Fermi-level density of states: 1.364 states/eV/f.u.

=====

# 5
The following is a DFT calculation (PBE) of an optimized crystal structure of CaAg2.

Cell and atoms, written as POSCAR:
```
CaAg2
1.0
4.6445 0.0000 0.0000
0.0000 5.9076 0.0000
0.0000 0.0000 10.1878
Ag Ca
8 4
Cartesian
3.4834 2.9586 2.5497
3.4834 1.4743 8.5617
1.1611 5.9029 7.6437
1.1611 1.4795 3.4678
1.1611 2.9491 7.6381
3.4834 4.4281 6.7200
1.1611 4.4333 1.6261
3.4834 0.0047 2.5442
1.1611 1.4777 0.4590
3.4834 4.4300 9.7288
1.1611 4.4315 4.6349
3.4834 1.4761 5.5529
```

Properties
DFT total energy: -2.835 eV per atom
Crystal system: orthorhombic
V: 279.5 Å³ per cell
Formation energy: -267 meV per atom
Magnetic moment: 0.0 μB/cell
Fermi-level density of states: 1.399 states/eV/f.u.

=====

# 6
The following is a DFT calculation (PBE) of an optimized crystal structure of Ca3Ag2.

Cell and atoms, written as POSCAR:
```
Ca3Ag2
1.0
7.3275 0.0000 0.0000
3.6637 6.3458 0.0000
3.6637 2.1153 6.9061
Ca Ag
6 4
Cartesian
8.7081 6.0696 1.7265
6.4251 6.3458 5.1796
9.6105 3.9544 5.1796
5.9468 2.3914 5.1796
5.0444 4.5066 1.7265
8.2299 2.1153 1.7265
3.6637 2.1153 3.1377
10.9912 6.3458 3.7684
10.9912 6.3458 6.5907
3.6637 2.1153 0.3154
```

Properties
DFT total energy: -2.535 eV per atom
Crystal system: trigonal
V: 321.1 Å³ per cell
Formation energy: -193 meV per atom
Magnetic moment: 0.0 μB/cell
Polymorph energy (0 for the lowest one): 0.49 eV/f.u.
Fermi-level density of states: 2.827 states/eV/f.u.

=====

# 7
The following is a DFT calculation (PBE) of an optimized crystal structure of CaAg2.

Cell and atoms, written as POSCAR:
```
CaAg2
1.0
7.9368 -0.1369 0.0000
-7.1226 3.5043 0.0000
0.0000 0.0000 5.0257
Ag Ca
4 2
Cartesian
-0.4169 1.8829 2.5128
4.7081 0.6438 2.5128
7.9241 -0.1338 0.0000
2.7991 1.1053 0.0000
-2.2035 2.3149 0.0000
-5.3487 3.0753 2.5128
```

Properties
DFT total energy: -2.770 eV per atom
Crystal system: orthorhombic
V: 134.9 Å³ per cell
Formation energy: -202 meV per atom
Magnetic moment: 0.0 μB/cell
Fermi-level density of states: 0.838 states/eV/f.u.

=====

# 8
The following is a DFT calculation (PBE) of an optimized crystal structure of CaAg.

Cell and atoms, written as POSCAR:
```
CaAg
1.0
-0.8829 3.9788 2.5403
0.2596 -0.1050 4.7943
3.5895 2.2518 2.2603
Ca Ag
1 1
Cartesian
2.2246 4.5942 7.1962
0.0000 0.0000 0.0000
```

Properties
DFT total energy: -2.161 eV per atom
Crystal system: cubic
V: 78.3 Å³ per cell
Formation energy: 265 meV per atom
Magnetic moment: 0.0 μB/cell
Fermi-level density of states: 2.529 states/eV/f.u.

=====

# 9
The following is a DFT calculation (PBE) of an optimized crystal structure of Ca3Ag2.

Cell and atoms, written as POSCAR:
```
Ca3Ag2
1.0
5.2396 0.0000 0.0000
-2.6198 4.5377 0.0000
0.0000 0.0000 6.3802
Ca Ag
3 2
Cartesian
2.6198 1.5126 4.2310
0.0000 0.0000 0.0000
0.0000 3.0251 2.1492
0.0000 3.0251 5.3647
2.6198 1.5126 1.0155
```

Properties
DFT total energy: -2.561 eV per atom
Crystal system: trigonal
V: 151.7 Å³ per cell
Formation energy: -220 meV per atom
Magnetic moment: 0.0 μB/cell
Polymorph energy (0 for the lowest one): 0.36 eV/f.u.
Fermi-level density of states: 4.705 states/eV/f.u.

=====

# 10
The following is a DFT calculation (PBE) of an optimized crystal structure of Ca3Ag2.

Cell and atoms, written as POSCAR:
```
Ca3Ag2
1.0
4.6125 0.0000 0.0000
2.3062 5.7849 -0.0038
2.3062 1.6959 5.5308
Ca Ag
3 2
Cartesian
6.9187 5.2328 3.8661
2.3062 2.2479 1.6608
0.0000 0.0000 0.0000
4.6125 4.5784 1.6292
4.6125 2.9024 3.8977
```

Properties
DFT total energy: -2.589 eV per atom
Crystal system: orthorhombic
V: 147.6 Å³ per cell
Formation energy: -248 meV per atom
Magnetic moment: 0.0 μB/cell
Polymorph energy (0 for the lowest one): 0.22 eV/f.u.
Fermi-level density of states: 3.425 states/eV/f.u.

=====

# 11
The following is a DFT calculation (PBE) of an optimized crystal structure of CaAg.

Cell and atoms, written as POSCAR:
```
CaAg
1.0
-1.0648 -0.7196 4.7289
2.1717 -3.5482 -2.5901
4.9860 2.0091 1.4284
Ca Ag
2 2
Cartesian
2.3394 -2.1031 0.2067
3.7536 -0.1557 3.3606
2.4930 1.0045 0.7142
0.0000 0.0000 0.0000
```

Properties
DFT total energy: -2.657 eV per atom
Crystal system: hexagonal
V: 115.7 Å³ per cell
Formation energy: -231 meV per atom
Magnetic moment: 0.0 μB/cell
Fermi-level density of states: 0.956 states/eV/f.u.

=====

# 12
The following is a DFT calculation (PBE) of an optimized crystal structure of CaAg3.

Cell and atoms, written as POSCAR:
```
CaAg3
1.0
-4.9467 -7.0811 -3.6968
-3.0532 -6.2701 -6.2962
-1.8777 -8.3105 -3.9607
Ag Ca
3 1
Cartesian
-2.4195 -5.3059 -3.4179
-7.4581 -16.3558 -10.5358
-4.9388 -10.8309 -6.9768
0.0000 0.0000 0.0000
```

Properties
DFT total energy: -2.536 eV per atom
Crystal system: trigonal
V: 87.6 Å³ per cell
Formation energy: 103 meV per atom
Magnetic moment: 0.0 μB/cell
Fermi-level density of states: 1.276 states/eV/f.u.

=====

- Look up the Fermi-level density of states of the fifth one.
  1.399 states/eV/f.u.

=====

- formation energy of number 6 (Ca3Ag2)?
  -193 meV per atom

=====

- Which value of magnetic moment does entry 11 give?
  0.0 μB/cell

=====

Copy entry 10 word for word.
The following is a DFT calculation (PBE) of an optimized crystal structure of Ca3Ag2.

Cell and atoms, written as POSCAR:
```
Ca3Ag2
1.0
4.6125 0.0000 0.0000
2.3062 5.7849 -0.0038
2.3062 1.6959 5.5308
Ca Ag
3 2
Cartesian
6.9187 5.2328 3.8661
2.3062 2.2479 1.6608
0.0000 0.0000 0.0000
4.6125 4.5784 1.6292
4.6125 2.9024 3.8977
```

Properties
DFT total energy: -2.589 eV per atom
Crystal system: orthorhombic
V: 147.6 Å³ per cell
Formation energy: -248 meV per atom
Magnetic moment: 0.0 μB/cell
Polymorph energy (0 for the lowest one): 0.22 eV/f.u.
Fermi-level density of states: 3.425 states/eV/f.u.